First-principles (PBE-GGA) data for a geometry-optimized HoPu2Se3 structure, as listed in the Alexandria database.

## Properties
Energy relative to the elements, uncorrected   -1.61 eV/atom
E   -8.89 eV/atom
Space-group type   Immm, No. 71
Magnetization   11.6 μB per formula unit

a b c (Å): 7.1213 7.1213 7.1213
angles (deg): 146.39 131.73 60.10
Fractional coordinates of all 6 atoms:
Ho 0.0000 0.0000 0.0000
Pu 0.3327 0.3327 0.0000
Pu 0.6673 0.6673 0.0000
Se 0.1637 0.6637 0.5000
Se 0.5000 0.0000 0.5000
Se 0.8363 0.3363 0.5000

---

First-principles (PBE-GGA) data for a geometry-optimized ErTm7Tl2 structure, as listed in the Alexandria database.

## Properties
ΔE_f   375 meV per atom
E   -3.68 eV/atom
Space-group type   Cmmm, No. 65
Magnetization   0.0 μB per formula unit

a b c (Å): 8.9529 8.9529 5.2238
angles (deg): 90.00 90.00 119.17
Fractional coordinates of all 10 atoms:
Er 0.0000 0.0000 0.0000
Tm 0.0621 0.3011 0.5000
Tm 0.2236 0.7764 0.0000
Tm 0.3011 0.0621 0.5000
Tm 0.5000 0.5000 0.5000
Tm 0.6989 0.9379 0.5000
Tm 0.7764 0.2236 0.0000
Tm 0.9379 0.6989 0.5000
Tl 0.3069 0.6931 0.5000
Tl 0.6931 0.3069 0.5000

---

First-principles (PBE-GGA) data for a geometry-optimized ThTlRh structure, as listed in the Alexandria database.

## Properties
ΔE_f   -553 meV per atom
E   -6.27 eV/atom
Space-group type   C2/m, No. 12
Magnetization   0.0 μB per formula unit

a b c (Å): 3.9477 3.9477 10.5474
angles (deg): 90.15 90.15 90.04
Fractional coordinates of all 6 atoms:
Th 0.2503 0.2503 0.1360
Th 0.7497 0.7497 0.8640
Tl 0.2495 0.2495 0.5838
Tl 0.7505 0.7505 0.4162
Rh 0.2496 0.2496 0.8473
Rh 0.7504 0.7504 0.1527

---

First-principles (PBE-GGA) data for a geometry-optimized Sc2CrHg2 structure, as listed in the Alexandria database.

## Properties
Distance to the lowest polymorph of the same formula   0.410 eV per atom
ΔE_f   368 meV per atom
E   -4.21 eV/atom
Space-group type   I4/mmm, No. 139
Magnetization   3.1 μB per formula unit

a b c (Å): 8.0440 8.0440 8.0440
angles (deg): 151.09 151.09 41.35
Fractional coordinates of all 5 atoms:
Sc 0.0962 0.0962 0.0000
Sc 0.9038 0.9038 0.0000
Cr 0.5000 0.5000 0.0000
Hg 0.2500 0.7500 0.5000
Hg 0.7500 0.2500 0.5000

---

First-principles (PBE-GGA) data for a geometry-optimized AsPPb2 structure, as listed in the Alexandria database.

## Properties
Distance to the lowest polymorph of the same formula   0.354 eV per atom
ΔE_f   497 meV per atom
E   -3.87 eV/atom
Space-group type   F-43m, No. 216
Magnetization   0.0 μB per formula unit

a b c (Å): 5.1815 5.1815 5.1815
angles (deg): 60.00 60.00 60.00
Fractional coordinates of all 4 atoms:
As 0.0000 0.0000 0.0000
P 0.7500 0.7500 0.7500
Pb 0.2500 0.2500 0.2500
Pb 0.5000 0.5000 0.5000

---

First-principles (PBE-GGA) data for a geometry-optimized ErTmO structure, as listed in the Alexandria database.

## Properties
Energy relative to the elements, uncorrected   -1.82 eV/atom
Distance to the lowest polymorph of the same formula   0.080 eV per atom
E   -6.48 eV/atom
Space-group type   P3m1, No. 156
Magnetization   0.0 μB per formula unit

a b c (Å): 3.4697 3.4697 5.6276
angles (deg): 90.00 90.00 120.00
Fractional coordinates of all 3 atoms:
Er 0.0000 0.0000 0.0000
Tm 0.3333 0.6667 0.4776
O 0.6667 0.3333 0.2432

---

First-principles (PBE-GGA) data for a geometry-optimized KPu2PbCl8 structure, as listed in the Alexandria database.

## Properties
Energy relative to the elements, uncorrected   -1.73 eV/atom
E   -5.75 eV/atom
Space-group type   P2/m, No. 10
Magnetization   11.0 μB per formula unit

a b c (Å): 6.6777 8.7257 6.8996
angles (deg): 90.00 91.06 90.00
Fractional coordinates of all 12 atoms:
K 0.0000 0.0000 0.0000
Pu 0.5000 0.2498 0.5000
Pu 0.5000 0.7502 0.5000
Pb 0.0000 0.5000 0.0000
Cl 0.2455 0.2649 0.1792
Cl 0.2455 0.7351 0.1792
Cl 0.2797 0.5000 0.6575
Cl 0.2855 0.0000 0.6428
Cl 0.7145 0.0000 0.3572
Cl 0.7203 0.5000 0.3425
Cl 0.7545 0.2649 0.8208
Cl 0.7545 0.7351 0.8208

---

First-principles (PBE-GGA) data for a geometry-optimized ReWSe2 structure, as listed in the Alexandria database.

## Properties
Energy relative to the elements, uncorrected   0.46 eV/atom
Distance to the lowest polymorph of the same formula   0.456 eV per atom
E   -7.63 eV/atom
Space-group type   Cmm2, No. 35
Magnetization   0.0 μB per formula unit

a b c (Å): 2.9136 2.9136 10.0328
angles (deg): 90.00 90.00 117.74
Fractional coordinates of all 4 atoms:
Re 0.0000 0.0000 0.0000
W 0.5000 0.5000 0.2188
Se 0.0000 0.0000 0.4324
Se 0.5000 0.5000 0.7898

---

First-principles (PBE-GGA) data for a geometry-optimized CdTcSn4 structure, as listed in the Alexandria database.

## Properties
ΔE_f   -26 meV per atom
E   -4.57 eV/atom
Space-group type   I4/mcm, No. 140
Magnetization   0.0 μB per formula unit

a b c (Å): 7.5262 7.5262 7.5262
angles (deg): 124.66 124.66 82.11
Fractional coordinates of all 12 atoms:
Cd 0.0000 0.0000 0.0000
Cd 0.5000 0.5000 0.0000
Tc 0.2500 0.2500 0.0000
Tc 0.7500 0.7500 0.0000
Sn 0.0096 0.5096 0.8082
Sn 0.2013 0.0096 0.5000
Sn 0.2987 0.7987 0.8082
Sn 0.4904 0.2987 0.5000
Sn 0.5096 0.7013 0.5000
Sn 0.7013 0.2013 0.1918
Sn 0.7987 0.9904 0.5000
Sn 0.9904 0.4904 0.1918

---

First-principles (PBE-GGA) data for a geometry-optimized LiCrFe structure, as listed in the Alexandria database.

## Properties
Distance to the lowest polymorph of the same formula   0.080 eV per atom
ΔE_f   227 meV per atom
E   -6.44 eV/atom
Space-group type   P1, No. 1
Magnetization   0.0 μB per formula unit

a b c (Å): 2.5260 2.5265 12.8681
angles (deg): 87.75 87.48 62.00
Fractional coordinates of all 6 atoms:
Li 0.0000 0.0000 0.0000
Li 0.3651 0.4011 0.8008
Cr 0.2472 0.2589 0.3177
Cr 0.7192 0.7399 0.4830
Fe 0.0349 0.0633 0.6297
Fe 0.6119 0.6169 0.1711

---

First-principles (PBE-GGA) data for a geometry-optimized TlInO3 structure, as listed in the Alexandria database.

## Properties
Energy relative to the elements, uncorrected   -1.05 eV/atom
E   -5.04 eV/atom
Space-group type   Amm2, No. 38
Magnetization   0.0 μB per formula unit

a b c (Å): 3.4625 5.9394 5.9394
angles (deg): 43.03 90.00 90.00
Fractional coordinates of all 5 atoms:
Tl 0.0000 0.0000 0.0000
In 0.5000 0.6884 0.6884
O 0.0000 0.5582 0.5582
O 0.0000 0.8076 0.8076
O 0.5000 0.1324 0.1324

---

First-principles (PBE-GGA) data for a geometry-optimized Ti2MoOsC structure, as listed in the Alexandria database.

## Properties
ΔE_f   1978 meV per atom
E   -7.44 eV/atom
Space-group type   P4/mmm, No. 123
Magnetization   0.0 μB per formula unit

a b c (Å): 4.7134 4.7134 4.6805
angles (deg): 90.00 90.00 90.00
Fractional coordinates of all 5 atoms:
Ti 0.0000 0.5000 0.0000
Ti 0.5000 0.0000 0.0000
Mo 0.0000 0.0000 0.5000
Os 0.0000 0.0000 0.0000
C 0.5000 0.5000 0.5000

---

First-principles (PBE-GGA) data for a geometry-optimized Tb2Sm4YEr2 structure, as listed in the Alexandria database.

## Properties
ΔE_f   19 meV per atom
E   -4.84 eV/atom
Space-group type   C2/m, No. 12
Magnetization   0.0 μB per formula unit

a b c (Å): 8.0144 8.0144 8.0056
angles (deg): 107.50 107.50 36.80
Fractional coordinates of all 9 atoms:
Tb 0.1115 0.1115 0.1681
Tb 0.8885 0.8885 0.8319
Sm 0.2227 0.2227 0.8321
Sm 0.4451 0.4451 0.1676
Sm 0.5549 0.5549 0.8324
Sm 0.7773 0.7773 0.1679
Y 0.0000 0.0000 0.5000
Er 0.3326 0.3326 0.5003
Er 0.6674 0.6674 0.4997

---

First-principles (PBE-GGA) data for a geometry-optimized Ho2SiAu structure, as listed in the Alexandria database.

## Properties
Energy relative to the elements, uncorrected   -0.63 eV/atom
E   -5.09 eV/atom
Space-group type   R-3m, No. 166
Magnetization   0.0 μB per formula unit

a b c (Å): 6.8193 6.8193 6.8193
angles (deg): 36.65 36.65 36.65
Fractional coordinates of all 4 atoms:
Ho 0.2440 0.2440 0.2440
Ho 0.7560 0.7560 0.7560
Si 0.5000 0.5000 0.5000
Au 0.0000 0.0000 0.0000

---

First-principles (PBE-GGA) data for a geometry-optimized Sr2Cd4Rh structure, as listed in the Alexandria database.

## Properties
ΔE_f   -144 meV per atom
E   -2.20 eV/atom
Space-group type   I4/mmm, No. 139
Magnetization   0.0 μB per formula unit

a b c (Å): 9.1434 9.1434 9.1434
angles (deg): 147.12 147.12 47.19
Fractional coordinates of all 7 atoms:
Sr 0.1418 0.1418 0.0000
Sr 0.8582 0.8582 0.0000
Cd 0.0000 0.5000 0.5000
Cd 0.3414 0.3414 0.0000
Cd 0.5000 0.0000 0.5000
Cd 0.6586 0.6586 0.0000
Rh 0.5000 0.5000 0.0000

---

First-principles (PBE-GGA) data for a geometry-optimized Sn7SeI12 structure, as listed in the Alexandria database.

## Properties
Energy relative to the elements, uncorrected   -0.48 eV/atom
E   -2.98 eV/atom
Space-group type   R-3, No. 148
Magnetization   0.0 μB per formula unit

a b c (Å): 10.0877 10.0877 10.0877
angles (deg): 107.19 107.19 107.19
Fractional coordinates of all 20 atoms:
Sn 0.0000 0.0000 0.0000
Sn 0.1639 0.3954 0.4644
Sn 0.3954 0.4644 0.1639
Sn 0.4644 0.1639 0.3954
Sn 0.5356 0.8361 0.6046
Sn 0.6046 0.5356 0.8361
Sn 0.8361 0.6046 0.5356
Se 0.5000 0.5000 0.5000
I 0.0403 0.3482 0.1233
I 0.1233 0.0403 0.3482
I 0.1807 0.7259 0.5697
I 0.2740 0.4303 0.8193
I 0.3482 0.1233 0.0403
I 0.4303 0.8193 0.2740
I 0.5697 0.1807 0.7259
I 0.6518 0.8767 0.9597
I 0.7259 0.5697 0.1807
I 0.8193 0.2741 0.4303
I 0.8767 0.9597 0.6518
I 0.9597 0.6518 0.8767

---

First-principles (PBE-GGA) data for a geometry-optimized LiFeSi2 structure, as listed in the Alexandria database.

## Properties
Energy relative to the elements, uncorrected   -0.24 eV/atom
Distance to the lowest polymorph of the same formula   0.015 eV per atom
E   -5.54 eV/atom
Space-group type   Fm-3m, No. 225
Magnetization   0.0 μB per formula unit

a b c (Å): 3.9692 3.9692 3.9692
angles (deg): 60.00 60.00 60.00
Fractional coordinates of all 4 atoms:
Li 0.0000 0.0000 0.0000
Fe 0.5000 0.5000 0.5000
Si 0.2500 0.2500 0.2500
Si 0.7500 0.7500 0.7500

---

First-principles (PBE-GGA) data for a geometry-optimized SrCeY2As4 structure, as listed in the Alexandria database.

## Properties
ΔE_f   -1389 meV per atom
E   -6.28 eV/atom
Space-group type   P2/m, No. 10
Magnetization   0.2 μB per formula unit

a b c (Å): 7.3095 4.2253 7.3136
angles (deg): 90.00 109.01 90.00
Fractional coordinates of all 8 atoms:
Sr 0.0000 0.0000 0.0000
Ce 0.5000 0.5000 0.0000
Y 0.0000 0.5000 0.5000
Y 0.5000 0.0000 0.5000
As 0.2566 0.0000 0.7434
As 0.2667 0.5000 0.2619
As 0.7333 0.5000 0.7381
As 0.7434 0.0000 0.2566

---

First-principles (PBE-GGA) data for a geometry-optimized Li2PdBr4 structure, as listed in the Alexandria database.

## Properties
Energy relative to the elements, uncorrected   -0.81 eV/atom
E   -3.06 eV/atom
Space-group type   I4/mmm, No. 139
Magnetization   0.0 μB per formula unit

a b c (Å): 7.6910 7.6910 7.6910
angles (deg): 140.04 140.04 57.79
Fractional coordinates of all 7 atoms:
Li 0.1271 0.1271 0.0000
Li 0.8729 0.8729 0.0000
Pd 0.5000 0.5000 0.0000
Br 0.0000 0.5000 0.5000
Br 0.3116 0.3116 0.0000
Br 0.5000 0.0000 0.5000
Br 0.6884 0.6884 0.0000

---

First-principles (PBE-GGA) data for a geometry-optimized GeAsIO2 structure, as listed in the Alexandria database.

## Properties
Energy relative to the elements, uncorrected   0.05 eV/atom
Distance to the lowest polymorph of the same formula   0.099 eV per atom
E   -4.10 eV/atom
Space-group type   P4/mmm, No. 123
Magnetization   0.0 μB per formula unit

a b c (Å): 4.0654 4.0654 5.6232
angles (deg): 90.00 90.00 90.00
Fractional coordinates of all 5 atoms:
Ge 0.0000 0.0000 0.0000
As 0.5000 0.5000 0.5000
I 0.5000 0.5000 0.0000
O 0.0000 0.5000 0.5000
O 0.5000 0.0000 0.5000

---

First-principles (PBE-GGA) data for a geometry-optimized Sm6C2I3N structure, as listed in the Alexandria database.

## Properties
Energy relative to the elements, uncorrected   -0.89 eV/atom
E   -5.87 eV/atom
Space-group type   C2/m, No. 12
Magnetization   0.0 μB per formula unit

a b c (Å): 6.6072 6.6072 7.9354
angles (deg): 97.98 97.98 120.00
Fractional coordinates of all 12 atoms:
Sm 0.0567 0.3878 0.1700
Sm 0.2745 0.2745 0.8296
Sm 0.3878 0.0567 0.1700
Sm 0.6122 0.9433 0.8300
Sm 0.7255 0.7255 0.1704
Sm 0.9433 0.6122 0.8300
C 0.3335 0.6665 0.0000
C 0.6665 0.3335 0.0000
I 0.1678 0.8322 0.5000
I 0.5000 0.5000 0.5000
I 0.8322 0.1678 0.5000
N 0.0000 0.0000 0.0000

---

First-principles (PBE-GGA) data for a geometry-optimized AgTeCl2 structure, as listed in the Alexandria database.

## Properties
Energy relative to the elements, uncorrected   -0.29 eV/atom
Distance to the lowest polymorph of the same formula   0.050 eV per atom
E   -2.71 eV/atom
Space-group type   Cm, No. 8
Magnetization   0.0 μB per formula unit

a b c (Å): 5.8616 5.8616 5.9718
angles (deg): 95.51 95.51 33.85
Fractional coordinates of all 4 atoms:
Ag 0.0000 0.0000 0.0000
Te 0.6689 0.6689 0.2436
Cl 0.3229 0.3229 0.9208
Cl 0.5362 0.5362 0.5382

---

First-principles (PBE-GGA) data for a geometry-optimized CaMnTe2 structure, as listed in the Alexandria database.

## Properties
Energy relative to the elements, uncorrected   -0.46 eV/atom
Distance to the lowest polymorph of the same formula   0.366 eV per atom
E   -4.82 eV/atom
Space-group type   C2/m, No. 12
Magnetization   4.7 μB per formula unit

a b c (Å): 5.2725 5.2725 3.8002
angles (deg): 90.33 90.33 90.20
Fractional coordinates of all 4 atoms:
Ca 0.0000 0.0000 0.0000
Mn 0.5000 0.5000 0.0000
Te 0.0000 0.5000 0.5000
Te 0.5000 0.0000 0.5000

---

First-principles (PBE-GGA) data for a geometry-optimized In2Ag2Bi structure, as listed in the Alexandria database.

## Properties
Distance to the lowest polymorph of the same formula   0.064 eV per atom
ΔE_f   107 meV per atom
E   -2.90 eV/atom
Space-group type   I4/mmm, No. 139
Magnetization   0.0 μB per formula unit

a b c (Å): 7.3388 7.3388 7.3388
angles (deg): 145.97 145.97 48.89
Fractional coordinates of all 5 atoms:
In 0.2500 0.7500 0.5000
In 0.7500 0.2500 0.5000
Ag 0.1016 0.1016 0.0000
Ag 0.8984 0.8984 0.0000
Bi 0.5000 0.5000 0.0000

---

First-principles (PBE-GGA) data for a geometry-optimized PmBePtN structure, as listed in the Alexandria database.

## Properties
Energy relative to the elements, uncorrected   -1.18 eV/atom
E   -6.89 eV/atom
Space-group type   P4/nmm, No. 129
Magnetization   0.0 μB per formula unit

a b c (Å): 3.8282 3.8282 8.0332
angles (deg): 90.00 90.00 90.00
Fractional coordinates of all 8 atoms:
Pm 0.2500 0.2500 0.1576
Pm 0.7500 0.7500 0.8424
Be 0.2500 0.2500 0.6632
Be 0.7500 0.7500 0.3368
Pt 0.2500 0.7500 0.5000
Pt 0.7500 0.2500 0.5000
N 0.2500 0.2500 0.8649
N 0.7500 0.7500 0.1351

---

First-principles (PBE-GGA) data for a geometry-optimized CeInSe2 structure, as listed in the Alexandria database.

## Properties
Energy relative to the elements, uncorrected   -1.20 eV/atom
Distance to the lowest polymorph of the same formula   0.019 eV per atom
E   -5.11 eV/atom
Space-group type   R3m, No. 160
Magnetization   1.0 μB per formula unit

a b c (Å): 8.1697 8.1697 8.1697
angles (deg): 30.57 30.57 30.57
Fractional coordinates of all 4 atoms:
Ce 0.0000 0.0000 0.0000
In 0.1710 0.1710 0.1710
Se 0.4016 0.4016 0.4016
Se 0.5948 0.5948 0.5948